Entry 1:
The following is a DFT calculation (PBE) of a relaxed Ta3Mo2 crystal.

Geometry as CIF:
```
data_Ta3Mo2
_cell_length_a 3.2160
_cell_length_b 3.2160
_cell_length_c 16.6015
_cell_angle_alpha 90.00
_cell_angle_beta 90.00
_cell_angle_gamma 90.00
_symmetry_space_group_name_H-M 'I 4/m m m'
_symmetry_Int_Tables_number 139
_symmetry_space_group_name_Hall '-I 4 2'
loop_
_atom_site_label
_atom_site_type_symbol
_atom_site_fract_x
_atom_site_fract_y
_atom_site_fract_z
Ta1 Ta 0.0000 0.0000 0.0000
Ta2 Ta 0.0000 0.0000 0.3956
Mo1 Mo 0.0000 0.0000 0.2035
```

## Properties
Crystal system: tetragonal
ΔE_f (eV per formula unit): -0.54
Size of the total moment (μB/f.u.): 0.00
ρ (kg/m3): 14211
Offset from the most stable computed form (eV per formula unit): 0.35
Calculated total energy (eV/atom): -11.5514



Entry 2:
The following is a DFT calculation (PBE) of a relaxed TaMo2 crystal.

Geometry as CIF:
```
data_TaMo2
_cell_length_a 2.8024
_cell_length_b 5.3022
_cell_length_c 6.9650
_cell_angle_alpha 77.83
_cell_angle_beta 82.20
_cell_angle_gamma 79.83
_symmetry_space_group_name_H-M 'P -1'
_symmetry_Int_Tables_number 2
_symmetry_space_group_name_Hall '-P 1'
loop_
_atom_site_label
_atom_site_type_symbol
_atom_site_fract_x
_atom_site_fract_y
_atom_site_fract_z
Ta1 Ta 0.0876 0.0847 0.1698
Mo1 Mo 0.2562 0.2516 0.4993
Mo2 Mo 0.4197 0.4172 0.8299
```

## Properties
Crystal system: triclinic
ΔE_f (eV per formula unit): -0.36
Size of the total moment (μB/f.u.): 0.00
ρ (kg/m3): 12500
Calculated total energy (eV/atom): -11.2927



Entry 3:
The following is a DFT calculation (PBE) of a relaxed Ta3Mo4 crystal.

Geometry as CIF:
```
data_Ta3Mo4
_cell_length_a 5.3081
_cell_length_b 5.3081
_cell_length_c 5.0463
_cell_angle_alpha 90.00
_cell_angle_beta 90.00
_cell_angle_gamma 120.00
_symmetry_space_group_name_H-M 'P 6/m m m'
_symmetry_Int_Tables_number 191
_symmetry_space_group_name_Hall '-P 6 2'
loop_
_atom_site_label
_atom_site_type_symbol
_atom_site_fract_x
_atom_site_fract_y
_atom_site_fract_z
Ta1 Ta 0.0000 0.5000 0.0000
Mo1 Mo 0.0000 0.0000 0.2587
Mo2 Mo 0.3333 0.6667 0.5000
```

## Properties
Crystal system: hexagonal
ΔE_f (eV per formula unit): 2.35
Size of the total moment (μB/f.u.): 0.00
ρ (kg/m3): 12496
Calculated total energy (eV/atom): -10.9332